First-principles (SCAN) data for a crystal of KTl2MoF6 relaxed with PBEsol, as listed in Alexandria.

Cell: 8.9844 8.9844 8.9844 Å, 90.00 90.00 90.00°
Space group Fm-3m (No. 225)
Symmetry-distinct sites (fractional):
K: 0.0000 0.0000 0.0000 (multiplicity 4)
Tl: 0.2500 0.2500 0.2500 (multiplicity 8)
Mo: 0.0000 0.0000 0.5000 (multiplicity 4)
F: 0.0000 0.0000 0.2736 (multiplicity 24)

Summary:
As for the total magnetization: 12.00 Bohr magnetons per cell. As for the energy relative to the elements, uncorrected: -2.370 eV/atom. Its crystal system is cubic. The calculated density is 6.02 g/cm³.


First-principles (SCAN) data for a crystal of Ca2BeNbIn relaxed with PBEsol, as listed in Alexandria.

Cell: 5.3363 5.3363 4.4677 Å, 90.00 90.00 90.00°
Space group P4/mmm (No. 123)
Symmetry-distinct sites (fractional):
Ca: 0.0000 0.5000 0.0000 (multiplicity 2)
Be: 0.0000 0.0000 0.0000 (multiplicity 1)
Nb: 0.5000 0.5000 0.5000 (multiplicity 1)
In: 0.0000 0.0000 0.5000 (multiplicity 1)

Summary:
The value obtained for the formation energy is 0.5601 eV per atom. As for the total magnetization: 3.69 Bohr magnetons per cell. Its crystal system is tetragonal. The calculated density is 3.88 g/cm³.


First-principles (SCAN) data for a crystal of YZnP2 relaxed with PBEsol, as listed in Alexandria.

Cell: 3.6648 4.3043 4.3419 Å, 90.00 90.00 90.00°
Space group Pmmm (No. 47)
Symmetry-distinct sites (fractional):
Y: 0.0000 0.0000 0.0000 (multiplicity 1)
Zn: 0.0000 0.5000 0.5000 (multiplicity 1)
P: 0.5000 0.0000 0.5000 (multiplicity 1)
P: 0.5000 0.5000 0.0000 (multiplicity 1)

Summary:
The value obtained for the formation energy is -0.5588 eV per atom. As for the total magnetization: 0.00 Bohr magnetons per cell. Its crystal system is orthorhombic. The calculated density is 5.24 g/cm³.


First-principles (SCAN) data for a crystal of NbSnBi3 relaxed with PBEsol, as listed in Alexandria.

Cell: 5.4476 5.4476 5.4476 Å, 90.00 90.00 90.00°
Space group Pm-3m (No. 221)
Symmetry-distinct sites (fractional):
Nb: 0.0000 0.0000 0.0000 (multiplicity 1)
Sn: 0.5000 0.5000 0.5000 (multiplicity 1)
Bi: 0.0000 0.0000 0.5000 (multiplicity 3)

Summary:
The value obtained for the formation energy is 0.5702 eV per atom. As for the total magnetization: 0.00 Bohr magnetons per cell. Its crystal system is cubic. The calculated density is 8.61 g/cm³.


First-principles (SCAN) data for a crystal of Li2TaZnW relaxed with PBEsol, as listed in Alexandria.

Cell: 4.2964 4.2964 4.6722 Å, 90.00 90.00 90.00°
Space group P4/mmm (No. 123)
Symmetry-distinct sites (fractional):
Li: 0.0000 0.5000 0.0000 (multiplicity 2)
Ta: 0.0000 0.0000 0.5000 (multiplicity 1)
Zn: 0.5000 0.5000 0.5000 (multiplicity 1)
W: 0.5000 0.5000 0.0000 (multiplicity 1)

Summary:
The value obtained for the formation energy is 1.9260 eV per atom. As for the total magnetization: 1.09 Bohr magnetons per cell. Its crystal system is tetragonal. The calculated density is 8.55 g/cm³.


First-principles (SCAN) data for a crystal of Li2TeRh relaxed with PBEsol, as listed in Alexandria.

Cell: 3.8613 3.8613 18.3336 Å, 90.00 90.00 90.00°
Space group I-42d (No. 122)
Symmetry-distinct sites (fractional):
Li: 0.2357 0.2500 0.1250 (multiplicity 8)
Te: 0.0000 0.0000 0.5000 (multiplicity 4)
Rh: 0.0000 0.0000 0.0000 (multiplicity 4)

Summary:
As for the total magnetization: 0.00 Bohr magnetons per cell. As for the energy relative to the elements, uncorrected: -0.355 eV/atom. Its crystal system is tetragonal. The calculated density is 5.94 g/cm³.


First-principles (SCAN) data for a crystal of MnTlPt3 relaxed with PBEsol, as listed in Alexandria.

Cell: 4.5664 4.5664 4.5664 Å, 90.00 90.00 90.00°
Space group Pm-3m (No. 221)
Symmetry-distinct sites (fractional):
Mn: 0.0000 0.0000 0.0000 (multiplicity 1)
Tl: 0.5000 0.5000 0.5000 (multiplicity 1)
Pt: 0.0000 0.0000 0.5000 (multiplicity 3)

Summary:
The value obtained for the formation energy is 0.8665 eV per atom. As for the total magnetization: 0.00 Bohr magnetons per cell. Its crystal system is cubic. The calculated density is 14.73 g/cm³.


First-principles (SCAN) data for a crystal of ReRuW relaxed with PBEsol, as listed in Alexandria.

Cell: 2.7370 2.7370 6.7638 Å, 90.00 90.00 120.00°
Space group P3m1 (No. 156)
Symmetry-distinct sites (fractional):
Re: 0.0000 0.0000 0.0000 (multiplicity 1)
Ru: 0.3333 0.6667 0.6801 (multiplicity 1)
W: 0.6667 0.3333 0.3500 (multiplicity 1)

Summary:
The value obtained for the formation energy is 0.1762 eV per atom. As for the total magnetization: 0.00 Bohr magnetons per cell. Its crystal system is trigonal. The calculated density is 17.83 g/cm³.


First-principles (SCAN) data for a crystal of NiSeN2 relaxed with PBEsol, as listed in Alexandria.

Cell: 2.9240 2.9240 17.3693 Å, 90.00 90.00 120.00°
Space group R-3m (No. 166, hexagonal axes)
Symmetry-distinct sites (fractional):
Ni: 0.0000 0.0000 0.0000 (multiplicity 3)
Se: 0.0000 0.0000 0.5000 (multiplicity 3)
N: 0.0000 0.0000 0.3862 (multiplicity 6)

Summary:
As for the total magnetization: 0.00 Bohr magnetons per cell. As for the energy relative to the elements, uncorrected: 0.631 eV/atom. Its crystal system is trigonal. The calculated density is 6.42 g/cm³.


First-principles (SCAN) data for a crystal of ScTeBrN2 relaxed with PBEsol, as listed in Alexandria.

Cell: 4.1268 4.1268 6.0589 Å, 90.00 90.00 90.00°
Space group P4/mmm (No. 123)
Symmetry-distinct sites (fractional):
Sc: 0.0000 0.0000 0.0000 (multiplicity 1)
Te: 0.0000 0.0000 0.5000 (multiplicity 1)
Br: 0.5000 0.5000 0.5000 (multiplicity 1)
N: 0.0000 0.5000 0.0000 (multiplicity 2)

Summary:
As for the total magnetization: 3.43 Bohr magnetons per cell. As for the energy relative to the elements, uncorrected: 0.558 eV/atom. Its crystal system is tetragonal. The calculated density is 4.51 g/cm³.


First-principles (SCAN) data for a crystal of ZrFeRh2N relaxed with PBEsol, as listed in Alexandria.

Cell: 4.1721 4.1721 3.6553 Å, 90.00 90.00 90.00°
Space group P4/mmm (No. 123)
Symmetry-distinct sites (fractional):
Zr: 0.0000 0.0000 0.0000 (multiplicity 1)
Fe: 0.5000 0.5000 0.0000 (multiplicity 1)
Rh: 0.0000 0.5000 0.5000 (multiplicity 2)
N: 0.5000 0.5000 0.5000 (multiplicity 1)

Summary:
As for the total magnetization: 1.67 Bohr magnetons per cell. As for the energy relative to the elements, uncorrected: -0.338 eV/atom. Its crystal system is tetragonal. The calculated density is 9.58 g/cm³.


First-principles (SCAN) data for a crystal of Ba2CaRh relaxed with PBEsol, as listed in Alexandria.

Cell: 4.2343 6.1933 12.7860 Å, 90.00 90.00 90.00°
Space group Amm2 (No. 38)
Symmetry-distinct sites (fractional):
Ba: 0.0000 0.0000 0.0000 (multiplicity 2)
Ba: 0.5000 0.0000 0.3365 (multiplicity 2)
Ca: 0.5000 0.0000 0.6374 (multiplicity 2)
Rh: 0.0000 0.0000 0.4976 (multiplicity 2)

Summary:
The value obtained for the formation energy is -0.1397 eV per atom. As for the total magnetization: 0.01 Bohr magnetons per cell. Its crystal system is orthorhombic. The calculated density is 4.14 g/cm³.


Question: Look up the calculated density of the first one.
Answer: 6.02 g/cm³